TaCuRh2: optimized geometry, GGA-PBE.

a = 2.7875 Å, b = 2.7875 Å, c = 26.7139 Å
α = 90.00°, β = 90.00°, γ = 120.00°
Closest atoms and distances in Å follow each position.
Element x y z (fractional)
Ta 0.0000 0.0000 0.0000  3 Rh 2.76, 6 Ta 2.79, 3 Cu 2.80
Ta 0.3333 0.6667 0.6667  3 Rh 2.76, 6 Ta 2.79, 3 Cu 2.80
Ta 0.6667 0.3333 0.3333  3 Rh 2.76, 6 Ta 2.79, 3 Cu 2.80
Cu 0.0000 0.0000 0.2478  3 Rh 2.66, 6 Cu 2.79, 3 Ta 2.80
Cu 0.3333 0.6667 0.9144  3 Rh 2.66, 6 Cu 2.79, 3 Ta 2.80
Cu 0.6667 0.3333 0.5811  3 Rh 2.66, 6 Cu 2.79, 3 Ta 2.80
Rh 0.0000 0.0000 0.5019  3 Cu 2.66, 9 Rh 2.77-2.79
Rh 0.0000 0.0000 0.7507  3 Ta 2.76, 9 Rh 2.77-2.79
Rh 0.3333 0.6667 0.1685  3 Cu 2.66, 9 Rh 2.77-2.79
Rh 0.3333 0.6667 0.4174  3 Ta 2.76, 9 Rh 2.77-2.79
Rh 0.6667 0.3333 0.0840  3 Ta 2.76, 9 Rh 2.77-2.79
Rh 0.6667 0.3333 0.8352  3 Cu 2.66, 9 Rh 2.77-2.79

## Properties
The symmetry is No. 160. The calculation puts the formation energy at 0.192 eV/f.u. The total energy comes out at -30.460 eV per formula unit.